# 1
First-principles (PBE) data for a geometry-optimized GdMgZn structure, as listed in the Open Quantum Materials Database.

Cell and atoms, written as extended XYZ:
```
6
Lattice="-2.216 -3.916 0.956 4.226 0.745 1.724 -3.432 3.616 6.853" Properties=species:S:1:pos:R:3 pbc="T T T"
Gd -0.421 -1.993 1.927
Gd 0.685 -1.774 5.322
Mg -2.239 -0.076 5.539
Mg -0.830 2.255 7.276
Zn -0.041 0.043 0.084
Zn -0.489 -0.537 7.663
```

***

# 2
First-principles (PBE) data for a geometry-optimized TlCoPdAu structure, as listed in the Open Quantum Materials Database.

Cell and atoms, written as extended XYZ:
```
4
Lattice="-0.199 -1.345 4.359 -2.392 -3.720 1.134 2.170 -3.794 1.320" Properties=species:S:1:pos:R:3 pbc="T T T"
Au -0.211 -4.429 3.407
Co -0.316 -6.644 5.110
Pd -0.105 -2.215 1.703
Tl 0.000 0.000 0.000
```

Results
- Polymorph energy (0 for the lowest one): 0.000 eV per atom

***

# 3
First-principles (PBE) data for a geometry-optimized Zr2Nb4Si3N3 structure, as listed in the Open Quantum Materials Database.

Cell and atoms, written as extended XYZ:
```
24
Lattice="-5.512 0.534 0.245 -3.013 -3.757 2.744 3.993 8.029 9.792" Properties=species:S:1:pos:R:3 pbc="T T T"
N -2.756 0.267 0.123
N -5.511 -0.856 1.141
N -3.013 -2.367 1.848
N -2.343 1.146 7.209
N 0.490 2.136 6.268
N -2.189 3.659 5.572
Nb -6.524 -1.455 2.972
Nb -0.810 0.678 0.993
Nb -6.114 0.794 6.496
Nb -0.429 2.977 4.487
Nb -4.102 1.829 8.294
Nb 1.583 4.011 6.286
Nb -3.721 4.128 11.788
Nb 1.993 6.260 9.809
Si -4.652 -0.725 4.802
Si -4.444 2.422 2.762
Si -1.312 0.548 3.647
Si -3.219 4.258 9.134
Si -0.087 2.383 10.019
Si 0.120 5.530 7.980
Zr -3.628 -0.234 2.195
Zr -3.316 1.741 5.274
Zr -1.215 3.065 7.507
Zr -0.903 5.040 10.587
```

***

# 4
First-principles (PBE) data for a geometry-optimized ZrCdAgPd structure, as listed in the Open Quantum Materials Database.

Cell and atoms, written as extended XYZ:
```
4
Lattice="0.000 3.346 3.346 3.346 0.000 3.346 3.346 3.346 0.000" Properties=species:S:1:pos:R:3 pbc="T T T"
Ag 3.346 3.346 3.346
Cd 1.673 1.673 1.673
Pd 0.000 0.000 0.000
Zr 5.019 5.019 5.019
```

Results
- Energy of formation: -1.32 eV per formula unit
- Polymorph energy (0 for the lowest one): 0.000 eV per atom

***

# 5
First-principles (PBE) data for a geometry-optimized YErPd structure, as listed in the Open Quantum Materials Database.

Cell and atoms, written as extended XYZ:
```
12
Lattice="-1.960 4.275 5.207 -0.477 -3.825 2.961 8.367 0.853 2.450" Properties=species:S:1:pos:R:3 pbc="T T T"
Er -0.619 3.398 6.285
Er 1.684 1.396 4.069
Er 4.245 -0.092 6.549
Er 6.549 -2.095 4.333
Pd -0.030 -1.787 3.672
Pd 1.599 0.617 7.039
Pd 4.331 0.686 3.579
Pd 5.960 3.090 6.947
Y -0.941 -0.037 5.785
Y 2.856 -1.888 4.007
Y 3.074 3.191 6.612
Y 6.871 1.340 4.833
```

Results
- Energy of formation: -1.89 eV per formula unit
- Polymorph energy (0 for the lowest one): 0.017 eV per atom

***

# 6
First-principles (PBE) data for a geometry-optimized BaSnBiPt2 structure, as listed in the Open Quantum Materials Database.

Cell and atoms, written as extended XYZ:
```
10
Lattice="5.025 0.000 0.000 0.000 4.877 0.000 -0.478 0.000 10.626" Properties=species:S:1:pos:R:3 pbc="T T T"
Ba 1.178 3.658 2.736
Ba 3.368 1.219 7.891
Bi 1.267 1.219 0.016
Bi 3.280 3.658 10.610
Pt 3.768 1.219 1.489
Pt 3.200 3.658 5.284
Pt 1.347 1.219 5.342
Pt 0.779 3.658 9.137
Sn 3.838 1.219 4.189
Sn 0.709 3.658 6.437
```

Results
- Polymorph energy (0 for the lowest one): 0.000 eV per atom

***

# 7
First-principles (PBE) data for a geometry-optimized Dy2Ga2AgAu structure, as listed in the Open Quantum Materials Database.

Cell and atoms, written as extended XYZ:
```
6
Lattice="4.560 0.000 0.000 -2.280 3.949 0.000 0.000 0.000 7.061" Properties=species:S:1:pos:R:3 pbc="T T T"
Ag 0.000 0.000 1.836
Au 0.000 0.000 5.205
Dy 0.000 2.633 3.564
Dy 0.000 2.633 7.043
Ga 2.280 1.316 1.539
Ga 2.280 1.316 5.525
```

***

# 8
First-principles (PBE) data for a geometry-optimized NdP structure, as listed in the Open Quantum Materials Database.

Cell and atoms, written as extended XYZ:
```
2
Lattice="0.000 2.945 2.945 2.945 0.000 2.945 2.945 2.945 0.000" Properties=species:S:1:pos:R:3 pbc="T T T"
Nd 0.000 0.000 0.000
P 2.945 2.945 2.945
```

***

# 9
First-principles (PBE) data for a geometry-optimized TbBePO structure, as listed in the Open Quantum Materials Database.

Cell and atoms, written as extended XYZ:
```
8
Lattice="3.067 0.000 0.000 0.000 5.524 0.000 0.000 0.000 6.824" Properties=species:S:1:pos:R:3 pbc="T T T"
Be 0.000 4.019 3.180
Be 0.000 1.505 6.592
O 1.534 4.751 2.897
O 1.534 0.773 6.309
P 0.000 2.172 1.851
P 0.000 3.352 5.263
Tb 1.534 4.344 0.629
Tb 1.534 1.180 4.041
```

Results
- Polymorph energy (0 for the lowest one): 0.320 eV per atom

***

# 10
First-principles (PBE) data for a geometry-optimized Dy2YMg3Tl2Zn structure, as listed in the Open Quantum Materials Database.

Cell and atoms, written as extended XYZ:
```
9
Lattice="-1.718 1.209 -4.037 -4.647 -5.886 0.214 -2.146 6.585 2.885" Properties=species:S:1:pos:R:3 pbc="T T T"
Dy -2.719 -3.443 0.126
Dy -1.257 3.851 1.688
Mg -1.952 -0.781 -1.968
Mg -1.364 2.154 -1.340
Mg -6.053 1.139 0.351
Tl -4.674 -1.128 -0.914
Tl -3.839 3.036 -0.022
Y -2.820 0.290 1.286
Zn -6.788 0.698 3.097
```

***

# 11
First-principles (PBE) data for a geometry-optimized LaPrNi2Bi2Sb2 structure, as listed in the Open Quantum Materials Database.

Cell and atoms, written as extended XYZ:
```
8
Lattice="4.508 0.000 0.000 0.000 4.508 0.000 0.000 0.000 9.932" Properties=species:S:1:pos:R:3 pbc="T T T"
Bi 2.254 0.000 4.985
Bi 0.000 2.254 4.985
La 0.000 0.000 2.277
Ni 2.254 0.000 9.927
Ni 0.000 2.254 9.927
Pr 2.254 2.254 7.655
Sb 2.254 2.254 1.267
Sb 0.000 0.000 8.641
```

***

# 12
First-principles (PBE) data for a geometry-optimized ThBe2 structure, as listed in the Open Quantum Materials Database.

Cell and atoms, written as extended XYZ:
```
6
Lattice="4.639 2.678 7.575 -4.639 2.678 7.575 0.000 -5.357 7.575" Properties=species:S:1:pos:R:3 pbc="T T T"
Be 0.000 0.000 8.522
Be 2.319 1.339 12.310
Be -2.319 1.339 12.310
Be 0.000 -2.678 12.310
Th 0.000 0.000 5.682
Th 0.000 0.000 11.363
```

***

Q: Which calculated total energy values were calculated for the entries above? A: -2.45, -4.30, -9.07, -4.69, -6.03, -5.14, -4.22, -6.63, -6.26, -3.25, -5.35, -2.21, in eV/atom.